VASP calculation (GGA-PBE) on an optimized crystal structure of LiC2I2.

abc: 3.4191 3.4191 8.6109
angles: 78.55 78.55 90.00
Sites, in units of the cell vectors:
Li1 0.0000 0.0000 0.0000
C1 0.7500 0.2500 0.5000
I1 0.6127 0.6127 0.7746
C2 0.2500 0.7500 0.5000
I2 0.3873 0.3873 0.2254

## Properties
ΔE_f (raw) = 1963 meV per atom
Density = 4.895 g/cm³
SG = I4/mmm
Offset from the most stable computed form = 929.6 meV/atom
Density of states at the Fermi level = 0.414 states/eV/atom